Entry 1:
The following is a DFT calculation (PBE) of a relaxed BeCdAg3 crystal.

CIF file:
```
data_BeCdAg3
_cell_length_a 4.481
_cell_length_b 4.481
_cell_length_c 4.481
_cell_angle_alpha 90.00
_cell_angle_beta 90.00
_cell_angle_gamma 90.00
_space_group_name_H-M_alt 'P m -3 m'
_space_group_IT_number 221
_space_group_name_Hall '-P 4 2 3'
loop_
_atom_site_label
_atom_site_type_symbol
_atom_site_fract_x
_atom_site_fract_y
_atom_site_fract_z
Be1 Be 0.000 0.000 0.000
Cd1 Cd 0.500 0.500 0.500
Ag1 Ag 0.000 0.000 0.500
```

Computed properties:
E_tot in eV for the cell shown: -11.8
Polymorph energy (0 for the lowest one) in meV per atom: 0
DOS(E_F) in states/eV per atom: 0.336
Formation energy from the elements in eV/atom: 0.29
M_tot in μB/atom: 0.000

Entry 2:
The following is a DFT calculation (PBE) of a relaxed BeCdAg crystal.

CIF file:
```
data_BeCdAg
_cell_length_a 5.932
_cell_length_b 5.932
_cell_length_c 5.932
_cell_angle_alpha 90.00
_cell_angle_beta 90.00
_cell_angle_gamma 90.00
_space_group_name_H-M_alt 'F -4 3 m'
_space_group_IT_number 216
_space_group_name_Hall 'F -4 2 3'
loop_
_atom_site_label
_atom_site_type_symbol
_atom_site_fract_x
_atom_site_fract_y
_atom_site_fract_z
Be1 Be 0.000 0.000 0.000
Cd1 Cd 0.250 0.250 0.750
Ag1 Ag 0.250 0.250 0.250
```

Computed properties:
E_tot in eV for the cell shown: -26.2
Polymorph energy (0 for the lowest one) in meV per atom: 138
DOS(E_F) in states/eV per atom: 0.673
Formation energy from the elements in eV/atom: 0.31
M_tot in μB/atom: 0.000

Entry 3:
The following is a DFT calculation (PBE) of a relaxed BeCdAg2 crystal.

CIF file:
```
data_BeCdAg2
_cell_length_a 4.2563
_cell_length_b 4.2563
_cell_length_c 13.3112
_cell_angle_alpha 90.00
_cell_angle_beta 90.00
_cell_angle_gamma 120.00
_space_group_name_H-M_alt 'R 3 m'
_space_group_IT_number 160
_space_group_name_Hall 'R 3 -2"'
loop_
_atom_site_label
_atom_site_type_symbol
_atom_site_fract_x
_atom_site_fract_y
_atom_site_fract_z
Be1 Be 0.0000 0.0000 0.0000
Cd1 Cd 0.0000 0.0000 0.1955
Ag1 Ag 0.0000 0.0000 0.4150
Ag2 Ag 0.0000 0.0000 0.6422
```

Computed properties:
E_tot in eV for the cell shown: -28.4
Polymorph energy (0 for the lowest one) in meV per atom: 140
DOS(E_F) in states/eV per atom: 0.337
Formation energy from the elements in eV/atom: 0.22
M_tot in μB/atom: 0.000